This record from the Open Quantum Materials Database describes a relaxed structure of Ta2BAu. The functional is GGA-PBE.

Cell: 4.4814 4.4814 4.4814 Å, 60.00 60.00 60.00°
With the nearest neighbours (Å) after each atom.
Positions (direct):
1 Au 0.2500 0.2500 0.2500  4 Ta 2.74, 4 B 2.74
2 B 0.5000 0.5000 0.5000  4 Ta 2.74, 4 Au 2.74
3 Ta 0.0000 0.0000 0.0000  4 Ta 2.74, 4 Au 2.74
4 Ta 0.7500 0.7500 0.7500  4 Ta 2.74, 4 B 2.74

Values from the calculation:
The value obtained for the uncorrected energy is -7.4298 eV per atom. The total moment comes out at 0.01 μB per formula unit. The symmetry is F-43m. As for the volume: 15.9 A^3/atom.


This record from the Open Quantum Materials Database describes a relaxed structure of Ho2Tm2InNi2Ge4. The functional is GGA-PBE.

Cell: 7.9934 7.9934 6.9947 Å, 108.06 108.06 30.58°
With the nearest neighbours (Å) after each atom.
Positions (direct):
1 Ge 0.2033 0.2033 0.2688  3 Ni 2.42-2.56
2 Ge 0.9344 0.9344 0.3364  1 Ni 2.38, 1 Ge 2.52
3 Ge 0.0656 0.0656 0.6636  1 Ni 2.38, 1 Ge 2.52
4 Ge 0.7967 0.7967 0.7312  3 Ni 2.42-2.56
5 Ho 0.5916 0.5916 0.3907  7 Ge 2.96-3.29, 3 Ni 3.02-3.04
6 Ho 0.4084 0.4084 0.6093  7 Ge 2.96-3.29, 3 Ni 3.02-3.04
7 In 0.0000 0.0000 0.0000  4 Ge 2.84-3.09
8 Ni 0.7829 0.7829 0.3563  4 Ge 2.38-2.56
9 Ni 0.2171 0.2171 0.6437  4 Ge 2.38-2.56
10 Tm 0.3440 0.3440 0.0625  5 Ge 2.89-3.04, 1 Ni 2.95
11 Tm 0.6560 0.6560 0.9375  5 Ge 2.89-3.04, 1 Ni 2.95

Values from the calculation:
The value obtained for the uncorrected energy is -5.3663 eV per atom. The total moment comes out at 0.00 μB per formula unit. The symmetry is C2/m. As for the volume: 19.6 A^3/atom.


This record from the Open Quantum Materials Database describes a relaxed structure of Zn2FeOs. The functional is GGA-PBE.

Cell: 4.2341 4.2341 4.2341 Å, 60.00 60.00 60.00°
With the nearest neighbours (Å) after each atom.
Positions (direct):
1 Fe 0.2500 0.2500 0.2500  4 Os 2.59, 4 Zn 2.59
2 Os 0.5000 0.5000 0.5000  4 Fe 2.59, 4 Zn 2.59
3 Zn 0.0000 0.0000 0.0000  4 Zn 2.59, 4 Fe 2.59
4 Zn 0.7500 0.7500 0.7500  4 Os 2.59, 4 Zn 2.59

Values from the calculation:
The value obtained for the uncorrected energy is -5.3276 eV per atom. The total moment comes out at 2.93 μB per formula unit. The symmetry is F-43m. As for the volume: 13.4 A^3/atom.


This record from the Open Quantum Materials Database describes a relaxed structure of Li2Mg2SnGeIr2. The functional is GGA-PBE.

Cell: 4.4225 4.4225 6.3645 Å, 90.00 90.00 90.00°
With the nearest neighbours (Å) after each atom.
Positions (direct):
1 Ge 0.0000 0.0000 0.5000  4 Li 2.65, 4 Ir 2.67
2 Ir 0.5000 0.0000 0.2650  2 Ge 2.67, 4 Mg 2.67-2.78, 2 Sn 2.78, 1 Li 2.96
3 Ir 0.0000 0.5000 0.7350  2 Ge 2.67, 4 Mg 2.67-2.78, 2 Sn 2.78, 1 Li 2.96
4 Li 0.0000 0.5000 0.2693  2 Ge 2.65, 4 Mg 2.65-2.80, 2 Sn 2.80, 1 Ir 2.96
5 Li 0.5000 0.0000 0.7307  2 Ge 2.65, 4 Mg 2.65-2.80, 2 Sn 2.80, 1 Ir 2.96
6 Mg 0.0000 0.0000 0.0000  4 Ir 2.78, 4 Li 2.80
7 Mg 0.5000 0.5000 0.5000  4 Li 2.65, 4 Ir 2.67
8 Sn 0.5000 0.5000 0.0000  4 Ir 2.78, 4 Li 2.80

Values from the calculation:
The value obtained for the uncorrected energy is -4.5960 eV per atom. The total moment comes out at 0.01 μB per formula unit. The symmetry is P-4m2. As for the volume: 15.6 A^3/atom.


Which of these has the lowest uncorrected energy?
Ta2BAu


Please write out number 4 again, unchanged.
This record from the Open Quantum Materials Database describes a relaxed structure of Li2Mg2SnGeIr2. The functional is GGA-PBE.

Cell: 4.4225 4.4225 6.3645 Å, 90.00 90.00 90.00°
With the nearest neighbours (Å) after each atom.
Positions (direct):
1 Ge 0.0000 0.0000 0.5000  4 Li 2.65, 4 Ir 2.67
2 Ir 0.5000 0.0000 0.2650  2 Ge 2.67, 4 Mg 2.67-2.78, 2 Sn 2.78, 1 Li 2.96
3 Ir 0.0000 0.5000 0.7350  2 Ge 2.67, 4 Mg 2.67-2.78, 2 Sn 2.78, 1 Li 2.96
4 Li 0.0000 0.5000 0.2693  2 Ge 2.65, 4 Mg 2.65-2.80, 2 Sn 2.80, 1 Ir 2.96
5 Li 0.5000 0.0000 0.7307  2 Ge 2.65, 4 Mg 2.65-2.80, 2 Sn 2.80, 1 Ir 2.96
6 Mg 0.0000 0.0000 0.0000  4 Ir 2.78, 4 Li 2.80
7 Mg 0.5000 0.5000 0.5000  4 Li 2.65, 4 Ir 2.67
8 Sn 0.5000 0.5000 0.0000  4 Ir 2.78, 4 Li 2.80

Values from the calculation:
The value obtained for the uncorrected energy is -4.5960 eV per atom. The total moment comes out at 0.01 μB per formula unit. The symmetry is P-4m2. As for the volume: 15.6 A^3/atom.